# CrSnP2O PBE+U relaxed
# crystal system	tetragonal
# calculated volume	99.89	Å³/f.u.
# energy relative to the lowest polymorph listed for this composition	1031	meV/atom
# D(E_F)	3.61	states/eV per cell
data_CrSnP2O
_chemical_formula_sum 'Cr1 Sn1 P2 O1'
_symmetry_space_group_name_H-M 'P 4/m m m'
_symmetry_Int_Tables_number 123
_symmetry_space_group_name_Hall '-P 4 2'
_cell_length_a 5.061
_cell_length_b 5.061
_cell_length_c 3.899
_cell_angle_alpha 90.00
_cell_angle_beta 90.00
_cell_angle_gamma 90.00
loop_
_atom_site_label
_atom_site_fract_x
_atom_site_fract_y
_atom_site_fract_z
_atom_site_occupancy
Cr1 0.000 0.000 0.000 1
Sn1 0.500 0.500 0.500 1
P1 0.000 0.500 0.500 1
O1 0.500 0.500 0.000 1